Entry 1:
VASP calculation (PBE) on a geometry-optimized TbHgI3 structure.

Cell: 7.7052 7.7052 11.4479 Å, 70.33 70.33 60.00°
With the nearest neighbours (Å) after each atom.
Positions (direct):
I 0.1993 0.9131 0.3312  2 Tb 3.05-3.06
I 0.4436 0.8007 0.6688  2 Tb 3.05-3.06
Hg 0.3368 0.3368 0.9897  6 I 4.36-4.38, 3 Hg 4.45
I 0.9131 0.5564 0.3312  2 Tb 3.05-3.06
Tb 0.8333 0.8333 0.5000  6 I 3.05-3.06
I 0.0869 0.4436 0.6688  2 Tb 3.05-3.06
Hg 0.6632 0.6632 0.0105  6 I 4.36-4.38, 3 Hg 4.45
I 0.8007 0.0869 0.6688  2 Tb 3.05-3.06
Tb 0.1667 0.1667 0.5000  6 I 3.05-3.06
I 0.5564 0.1993 0.3312  2 Tb 3.05-3.06

Results
**Fermi-level density of states**: 0.00 states/eV per cell
**Formation energy (no corrections)**: -1.10 eV/atom
**Relative energy among the computed polymorphs**: 0 meV/atom



Entry 2:
VASP calculation (PBE) on a geometry-optimized TbHgI3 structure.

Cell: 6.0652 6.0652 6.0652 Å, 90.00 90.00 90.00°
With the nearest neighbours (Å) after each atom.
Positions (direct):
Hg 0.5000 0.5000 0.5000  12 I 4.29
I 0.0000 0.5000 0.0000  2 Tb 3.03
I 0.0000 0.0000 0.5000  2 Tb 3.03
Tb 0.0000 0.0000 0.0000  6 I 3.03
I 0.5000 0.0000 0.0000  2 Tb 3.03

Results
**Fermi-level density of states**: 0.00 states/eV per cell
**Formation energy (no corrections)**: -0.99 eV/atom
**Relative energy among the computed polymorphs**: 118 meV/atom



Entry 3:
VASP calculation (PBE) on a geometry-optimized TbHg2I8 structure.

Cell: 7.3416 8.8616 8.8616 Å, 91.22 97.63 97.63°
With the nearest neighbours (Å) after each atom.
Positions (direct):
I 0.7821 0.4461 0.4461  1 Hg 2.84
Tb 0.0000 0.0000 0.0000  6 I 3.07-3.08
I 0.2801 0.2190 0.2190  1 Hg 2.88, 1 Tb 3.08
I 0.7899 0.2714 0.9234  1 Hg 2.86, 1 Tb 3.07
I 0.2101 0.0766 0.7286  1 Hg 2.86, 1 Tb 3.07
I 0.7899 0.9234 0.2714  1 Hg 2.86, 1 Tb 3.07
I 0.2101 0.7286 0.0766  1 Hg 2.86, 1 Tb 3.07
I 0.2179 0.5539 0.5539  1 Hg 2.84
I 0.7199 0.7810 0.7810  1 Hg 2.88, 1 Tb 3.08
Hg 0.6705 0.2137 0.2137  4 I 2.84-2.88
Hg 0.3295 0.7863 0.7863  4 I 2.84-2.88

Results
**Fermi-level density of states**: 1.91 states/eV per cell
**Formation energy (no corrections)**: -0.60 eV/atom



Entry 4:
VASP calculation (PBE) on a geometry-optimized TbHgI6 structure.

Cell: 7.8432 9.0344 7.5867 Å, 61.16 62.90 55.53°
With the nearest neighbours (Å) after each atom.
Positions (direct):
I 0.9010 0.5523 0.2211  1 Tb 3.04, 1 I 3.35
I 0.2306 0.9136 0.2432  1 Hg 2.71
I 0.5381 0.2704 0.2968  1 Tb 2.95
I 0.7694 0.0864 0.7568  1 Hg 2.71
I 0.0990 0.4477 0.7789  1 Tb 3.04, 1 I 3.35
Hg 0.0000 0.0000 0.0000  2 I 2.71
I 0.4619 0.7296 0.7032  1 Tb 2.95
Tb 0.5000 0.5000 0.5000  6 I 2.95-3.16

Results
**Fermi-level density of states**: 2.16 states/eV per cell
**Formation energy (no corrections)**: -0.66 eV/atom



Entry 5:
VASP calculation (PBE) on a geometry-optimized Tb2HgI2 structure.

Cell: 4.1461 4.1461 12.3305 Å, 80.32 80.32 60.00°
With the nearest neighbours (Å) after each atom.
Positions (direct):
Tb 0.3859 0.3859 0.8422  3 Hg 3.06, 3 I 3.15
I 0.2243 0.2243 0.3270  3 Tb 3.15
I 0.7757 0.7757 0.6730  3 Tb 3.15
Tb 0.6141 0.6141 0.1578  3 Hg 3.06, 3 I 3.15
Hg 0.0000 0.0000 0.0000  6 Tb 3.06

Results
**Fermi-level density of states**: 1.14 states/eV per cell
**Formation energy (no corrections)**: -0.94 eV/atom



Entry 6:
VASP calculation (PBE) on a geometry-optimized Tb4HgI5 structure.

Cell: 4.2337 9.0146 9.8128 Å, 101.71 102.46 90.00°
With the nearest neighbours (Å) after each atom.
Positions (direct):
Tb 0.0010 0.2246 0.0021  2 Hg 2.93, 4 I 3.15-3.27
I 0.1679 0.3356 0.3359  3 Tb 3.13-3.15
I 0.8321 0.6644 0.6641  3 Tb 3.13-3.15
Tb 0.6548 0.0748 0.3096  1 Hg 2.90, 5 I 3.13-3.24
I 0.1730 0.8246 0.3460  4 Tb 3.16-3.27
I 0.5000 0.5000 0.0000  4 Tb 3.27
Hg 0.5000 0.0000 0.0000  6 Tb 2.90-2.93
Tb 0.3452 0.9252 0.6904  1 Hg 2.90, 5 I 3.13-3.24
Tb 0.9990 0.7754 0.9979  2 Hg 2.93, 4 I 3.15-3.27
I 0.8270 0.1754 0.6540  4 Tb 3.16-3.27

Results
**Fermi-level density of states**: 3.84 states/eV per cell
**Formation energy (no corrections)**: -1.00 eV/atom



Entry 7:
VASP calculation (PBE) on a geometry-optimized Tb3HgI3 structure.

Cell: 10.7497 10.7497 10.7497 Å, 109.47 109.47 109.47°
With the nearest neighbours (Å) after each atom.
Positions (direct):
Tb 0.4712 0.4856 0.2356  2 Hg 2.93, 2 I 3.20
Tb 0.2644 0.0144 0.0288  2 Hg 2.93, 2 I 3.20
Tb 0.4856 0.7500 0.0144  2 Hg 2.93, 2 I 3.20
I 0.9935 0.9870 0.7435  4 Tb 3.20-3.29
I 0.7565 0.7435 0.2500  4 Tb 3.20-3.29
Tb 0.7500 0.2356 0.2644  2 Hg 2.93, 2 I 3.20
Tb 0.2356 0.4712 0.4856  2 Hg 2.93, 2 I 3.20
I 0.9935 0.5065 0.2500  4 Tb 3.20-3.29
Tb 0.4856 0.2356 0.4712  2 Hg 2.93, 2 I 3.20
Hg 0.2500 0.5000 0.0000  6 Tb 2.93
I 0.7565 0.5130 0.5065  4 Tb 3.20-3.29
I 0.9870 0.7435 0.9935  4 Tb 3.20-3.29
I 0.7435 0.9935 0.9870  4 Tb 3.20-3.29
Tb 0.7500 0.0144 0.4856  2 Hg 2.93, 2 I 3.20
Tb 0.2644 0.7500 0.2356  2 Hg 2.93, 2 I 3.20
Tb 0.0288 0.2644 0.0144  2 Hg 2.93, 2 I 3.20
I 0.5065 0.2500 0.9935  4 Tb 3.20-3.29
Hg 0.0000 0.2500 0.5000  6 Tb 2.93
I 0.2500 0.9935 0.5065  4 Tb 3.20-3.29
Tb 0.0144 0.0288 0.2644  2 Hg 2.93, 2 I 3.20
Hg 0.5000 0.0000 0.2500  6 Tb 2.93
I 0.7435 0.2500 0.7565  4 Tb 3.20-3.29
I 0.2500 0.7565 0.7435  4 Tb 3.20-3.29
Tb 0.2356 0.2644 0.7500  2 Hg 2.93, 2 I 3.20
I 0.5065 0.7565 0.5130  4 Tb 3.20-3.29
Tb 0.0144 0.4856 0.7500  2 Hg 2.93, 2 I 3.20
I 0.5130 0.5065 0.7565  4 Tb 3.20-3.29
Hg 0.2500 0.2500 0.2500  6 Tb 2.93

Results
**Fermi-level density of states**: 14.41 states/eV per cell
**Formation energy (no corrections)**: -0.91 eV/atom



Entry 8:
VASP calculation (PBE) on a geometry-optimized TbHg2I6 structure.

Cell: 8.3924 11.0049 11.0049 Å, 85.76 75.65 75.65°
With the nearest neighbours (Å) after each atom.
Positions (direct):
Tb 0.7500 0.9322 0.0678  6 I 3.05-3.10
I 0.6333 0.9605 0.8199  2 Tb 3.09-3.10
Hg 0.6575 0.5186 0.2986  3 I 2.86-2.97
I 0.5118 0.3235 0.4305  2 Hg 2.86-2.97
I 0.3181 0.3284 0.9277  1 Hg 2.89, 1 Tb 3.05
I 0.0118 0.4305 0.3235  2 Hg 2.86-2.97
I 0.1819 0.0723 0.6716  1 Hg 2.89, 1 Tb 3.05
I 0.6819 0.6716 0.0723  1 Hg 2.89, 1 Tb 3.05
I 0.1333 0.8199 0.9605  2 Tb 3.09-3.10
Hg 0.8425 0.7014 0.4814  3 I 2.86-2.97
I 0.9882 0.5695 0.6765  2 Hg 2.86-2.97
I 0.3667 0.0395 0.1801  2 Tb 3.09-3.10
Hg 0.3425 0.4814 0.7014  3 I 2.86-2.97
I 0.4882 0.6765 0.5695  2 Hg 2.86-2.97
Tb 0.2500 0.0678 0.9322  6 I 3.05-3.10
Hg 0.1575 0.2986 0.5186  3 I 2.86-2.97
I 0.8181 0.9277 0.3284  1 Hg 2.89, 1 Tb 3.05
I 0.8667 0.1801 0.0395  2 Tb 3.09-3.10

Results
**Fermi-level density of states**: 7.69 states/eV per cell
**Formation energy (no corrections)**: -0.66 eV/atom



Entry 9:
VASP calculation (PBE) on a geometry-optimized TbHgI3 structure.

Cell: 7.7487 11.1727 11.1727 Å, 76.63 89.90 89.90°
With the nearest neighbours (Å) after each atom.
Positions (direct):
I 0.6400 0.4001 0.3321  2 Tb 3.07-3.08
Hg 0.2500 0.2233 0.7767  2 Hg 3.94-3.95, 6 I 4.19-4.39
I 0.1400 0.3321 0.4001  2 Tb 3.07-3.08
I 0.7600 0.5328 0.9669  2 Tb 3.07-3.08
Tb 0.4270 0.1692 0.3308  6 I 3.07-3.08
Hg 0.7500 0.2769 0.7231  2 Hg 3.94-3.95, 6 I 4.19-4.38
I 0.2400 0.4672 0.0331  2 Tb 3.07-3.08
Tb 0.5730 0.8308 0.6692  6 I 3.07-3.08
I 0.7400 0.0331 0.4672  2 Tb 3.07-3.08
I 0.8600 0.6679 0.5999  2 Tb 3.07-3.08
Hg 0.2500 0.7231 0.2769  2 Hg 3.94, 6 I 4.19-4.38
Tb 0.0730 0.6692 0.8308  6 I 3.07-3.08
I 0.1413 0.1000 0.1679  2 Tb 3.07-3.08
I 0.8587 0.9000 0.8321  2 Tb 3.07-3.08
I 0.3600 0.5999 0.6679  2 Tb 3.07-3.08
I 0.6413 0.1679 0.1000  2 Tb 3.07-3.08
Hg 0.7500 0.7767 0.2233  2 Hg 3.94, 6 I 4.19-4.39
Tb 0.9270 0.3308 0.1692  6 I 3.07-3.08
I 0.2600 0.9669 0.5328  2 Tb 3.07-3.08
I 0.3587 0.8321 0.9000  2 Tb 3.07-3.08

Results
**Fermi-level density of states**: 0.00 states/eV per cell
**Formation energy (no corrections)**: -1.05 eV/atom
**Relative energy among the computed polymorphs**: 52 meV/atom



Entry 10:
VASP calculation (PBE) on a geometry-optimized TcHg3I structure.

Cell: 5.4850 5.4850 5.4850 Å, 90.00 90.00 90.00°
With the nearest neighbours (Å) after each atom.
Positions (direct):
Hg 0.0000 0.0000 0.5000  2 Tc 2.74
I 0.5000 0.5000 0.5000  12 Hg 3.88
Hg 0.0000 0.5000 0.0000  2 Tc 2.74
Tc 0.0000 0.0000 0.0000  6 Hg 2.74
Hg 0.5000 0.0000 0.0000  2 Tc 2.74

Results
**Fermi-level density of states**: 2.29 states/eV per cell
**Formation energy (no corrections)**: 0.56 eV/atom
**Relative energy among the computed polymorphs**: 0 meV/atom